## Dy4Er2TmMg (PBE)

Data for a geometry-optimized Dy4Er2TmMg structure.

POSCAR file:
```
Dy4Er2TmMg
1.0
4.944 0.000 0.000
0.000 4.944 0.000
0.000 0.000 9.838
Dy Er Tm Mg
4 2 1 1
direct
0.000 0.500 0.248
0.000 0.500 0.752
0.500 0.000 0.248
0.500 0.000 0.752
0.000 0.000 0.000
0.500 0.500 0.500
0.000 0.000 0.500
0.500 0.500 0.000
```

As for the total energy: -4.179 eV per atom. Its space-group type is No. 123. As for the density of states at the Fermi level: 1.475 states/eV per atom. The formation energy from the elements comes out at 16 kJ/mol of formula units. The mass density is 8.13 Mg/m³.


## RbAc4Sn4 (PBE)

Data for a geometry-optimized RbAc4Sn4 structure.

POSCAR file:
```
RbAc4Sn4
1.0
11.113 0.000 0.000
0.000 11.113 0.000
0.000 0.000 6.673
Rb Ac Sn
2 8 8
direct
0.250 0.250 0.250
0.750 0.750 0.750
0.114 0.630 0.137
0.130 0.886 0.637
0.370 0.614 0.637
0.386 0.870 0.137
0.614 0.130 0.863
0.630 0.386 0.363
0.870 0.114 0.363
0.886 0.370 0.863
0.062 0.581 0.645
0.081 0.938 0.145
0.419 0.562 0.145
0.438 0.919 0.645
0.562 0.081 0.355
0.581 0.438 0.855
0.919 0.062 0.855
0.938 0.419 0.355
```

As for the total energy: -4.132 eV per atom. Its space-group type is No. 86. As for the density of states at the Fermi level: 0.913 states/eV per atom. The formation energy from the elements comes out at -364 kJ/mol of formula units. The mass density is 5.92 Mg/m³.


## Re2TcSe (PBE)

Data for a geometry-optimized Re2TcSe structure.

POSCAR file:
```
Re2TcSe
1.0
3.985 0.000 0.000
0.000 1.434 5.308
0.000 -1.434 5.308
Re Tc Se
2 1 1
direct
0.000 0.000 0.000
0.500 0.380 0.380
0.000 0.743 0.743
0.500 0.152 0.152
```

The uncorrected formation energy comes out at 324 meV/atom. As for the total energy: -9.363 eV per atom. Its space-group type is No. 38. As for the density of states at the Fermi level: 0.681 states/eV per atom. The mass density is 15.04 Mg/m³.


## LiGdRh (PBE)

Data for a geometry-optimized LiGdRh structure.

POSCAR file:
```
LiGdRh
1.0
-1.753 1.753 4.667
1.753 -1.753 4.667
1.753 1.753 -4.667
Li Gd Rh
1 1 1
direct
0.000 0.000 0.000
0.295 0.295 0.000
0.634 0.634 0.000
```

As for the total energy: -8.135 eV per atom. Its space-group type is No. 107. As for the density of states at the Fermi level: 0.816 states/eV per atom. The formation energy from the elements comes out at -102 kJ/mol of formula units. The mass density is 7.73 Mg/m³.